# 1
## TbY2Tm2Sc (GGA-PBE)

Data for a relaxed TbY2Tm2Sc crystal.

The total energy is -62.4 eV per cell. The calculation puts the calculated formation energy at 1.6 eV/f.u.

The space group is Pnnm (No. 58) and the conventional cell measures 6.4432, 17.3615 and 3.3191 Å, with angles of 90.00, 90.00 and 90.00 degrees. The distinct sites, in fractional coordinates, are Tb at (0.0000, 0.0000, 0.0000), Y at (0.2441, 0.3167, 0.0000), Tm at (0.2440, 0.1447, 0.5000) and Sc at (0.0000, 0.5000, 0.0000).

# 2
## Ca2ZnHPd (GGA-PBE)

Data for a relaxed Ca2ZnHPd crystal.

The total energy is -16.1 eV per cell.

The space group is P4/mmm (No. 123) and the conventional cell measures 5.0142, 5.0142 and 3.7756 Å, with angles of 90.00, 90.00 and 90.00 degrees. The distinct sites, in fractional coordinates, are Ca at (0.0000, 0.5000, 0.0000), Zn at (0.0000, 0.0000, 0.5000), H at (0.5000, 0.5000, 0.0000) and Pd at (0.5000, 0.5000, 0.5000).

# 3
## NaYSbAu (GGA-PBE)

Data for a relaxed NaYSbAu crystal.

The formation energy without anion corrections is -0.67 eV per atom. The total energy is -71.5 eV per cell.

The space group is F-43m (No. 216) and the conventional cell measures 7.3337, 7.3337 and 7.3337 Å, with angles of 90.00, 90.00 and 90.00 degrees. The distinct sites, in fractional coordinates, are Na at (0.0000, 0.0000, 0.0000), Y at (0.0000, 0.0000, 0.5000), Sb at (0.2500, 0.2500, 0.2500) and Au at (0.2500, 0.2500, 0.7500).

# 4
## Na3TbY2S6 (GGA-PBE)

Data for a relaxed Na3TbY2S6 crystal.

The formation energy without anion corrections is -1.85 eV per atom. The total energy is -137.0 eV per cell.

The space group is C2/m (No. 12) and the conventional cell measures 6.9175, 11.9809 and 7.0719 Å, with angles of 90.00, 109.02 and 90.00 degrees. The distinct sites, in fractional coordinates, are Na at (0.0000, 0.0000, 0.0000), Na at (0.0000, 0.3332, 0.0000), Tb at (0.0000, 0.5000, 0.5000), Y at (0.0000, 0.1667, 0.5000), S at (0.2417, 0.0000, 0.7274) and S at (0.2428, 0.3330, 0.7272).

Calculated volume for the records above, in order: 371.3 94.9 394.4 554.1 Å³ per cell
Total magnetization for the records above, in order: 0.00 0.00 0.00 0.00 μB per atom
Calculated density for the records above, in order: 6.44 4.43 7.25 3.58 g/cm³